[1]
A plane-wave DFT calculation with meta-GGA SCAN was carried out for BaTcPd2 at its PBEsol-relaxed geometry.

The raw total energy is -552.91 eV per cell.

The structure belongs to space group Fm-3m (No. 225); the cell edges are 6.861, 6.861 and 6.861 Å and the angles 90.00°, 90.00° and 90.00°. Symmetry generates all atoms from Ba at (0.000, 0.000, 0.000), Tc at (0.000, 0.000, 0.500) and Pd at (0.250, 0.250, 0.250).


[2]
A plane-wave DFT calculation with meta-GGA SCAN was carried out for Mo2PbAu at its PBEsol-relaxed geometry.

The raw total energy is -424.61 eV per cell.

The structure belongs to space group Immm (No. 71); the cell edges are 3.387, 4.502 and 9.229 Å and the angles 90.00°, 90.00° and 90.00°. Symmetry generates all atoms from Mo at (0.000, 0.000, 0.248), Pb at (0.000, 0.500, 0.500) and Au at (0.000, 0.500, 0.000).


[3]
A plane-wave DFT calculation with meta-GGA SCAN was carried out for BeAu2Se at its PBEsol-relaxed geometry.

For the uncorrected formation energy, the calculation gives 0.4095 eV/atom.

The structure belongs to space group Cmmm (No. 65); the cell edges are 5.463, 8.387 and 2.830 Å and the angles 90.00°, 90.00° and 90.00°. Symmetry generates all atoms from Be at (0.000, 0.000, 0.000), Au at (0.250, 0.250, 0.500) and Se at (0.000, 0.500, 0.000).


[4]
A plane-wave DFT calculation with meta-GGA SCAN was carried out for Li2AgBi at its PBEsol-relaxed geometry.

The raw total energy is -460.85 eV per cell.

The structure belongs to space group I-42d (No. 122); the cell edges are 7.585, 7.585 and 5.734 Å and the angles 90.00°, 90.00° and 90.00°. Symmetry generates all atoms from Li at (0.226, 0.750, 0.125), Ag at (0.000, 0.000, 0.000) and Bi at (0.000, 0.000, 0.500).


[5]
A plane-wave DFT calculation with meta-GGA SCAN was carried out for LaHg2Br at its PBEsol-relaxed geometry.

For the uncorrected formation energy, the calculation gives -0.8456 eV/atom.

The structure belongs to space group I-4m2 (No. 119); the cell edges are 4.779, 4.779 and 8.942 Å and the angles 90.00°, 90.00° and 90.00°. Symmetry generates all atoms from La at (0.000, 0.000, 0.000), Hg at (0.000, 0.000, 0.500), Hg at (0.000, 0.500, 0.750) and Br at (0.000, 0.500, 0.250).


[6]
A plane-wave DFT calculation with meta-GGA SCAN was carried out for TaTc2Pb at its PBEsol-relaxed geometry.

The raw total energy is -211.27 eV per cell.

The structure belongs to space group Pmm2 (No. 25); the cell edges are 3.025, 4.019 and 5.655 Å and the angles 90.00°, 90.00° and 90.00°. Symmetry generates all atoms from Ta at (0.000, 0.000, 0.000), Tc at (0.000, 0.000, 0.425), Tc at (0.500, 0.500, 0.209) and Pb at (0.500, 0.500, 0.696).


[7]
A plane-wave DFT calculation with meta-GGA SCAN was carried out for Tl2SnAs2 at its PBEsol-relaxed geometry.

The raw total energy is -441.15 eV per cell.

The structure belongs to space group P4/mbm (No. 127); the cell edges are 7.297, 7.297 and 4.958 Å and the angles 90.00°, 90.00° and 90.00°. Symmetry generates all atoms from Tl at (0.182, 0.318, 0.000), Sn at (0.000, 0.000, 0.500) and As at (0.118, 0.618, 0.500).


[8]
A plane-wave DFT calculation with meta-GGA SCAN was carried out for SbTeAs2 at its PBEsol-relaxed geometry.

For the uncorrected formation energy, the calculation gives 0.0682 eV/atom.

The structure belongs to space group Cm (No. 8); the cell edges are 12.119, 4.086 and 4.141 Å and the angles 90.00°, 105.49° and 90.00°. Symmetry generates all atoms from Sb at (0.000, 0.000, 0.000), Te at (0.260, 0.000, 0.267), As at (0.024, 0.500, 0.565) and As at (0.248, 0.500, 0.755).